A plane-wave DFT calculation with PBE was carried out for HfZrSc2As4 after structural relaxation.

Crystal system: monoclinic
DFT formation energy, eV/atom: -1.22
Calculated total energy, eV/atom: -7.441

The structure in POSCAR format:
```
HfZrSc2As4
1.0
3.8423 0.0000 0.0000
0.0000 6.6692 0.1157
0.0000 -2.3359 6.3105
As Sc Hf Zr
4 2 1 1
direct
0.5000 0.2479 0.2503
0.5000 0.7521 0.7497
0.0000 0.2471 0.7481
0.0000 0.7529 0.2519
0.0000 0.5000 0.5000
0.5000 0.0000 0.5000
0.0000 0.0000 0.0000
0.5000 0.5000 0.0000
```

***

A plane-wave DFT calculation with PBE was carried out for Ba2BiRhO5 after structural relaxation.

Crystal system: orthorhombic
Formation energy (no corrections), eV per atom: -1.628
Calculated total energy, eV/atom: -6.058

The structure in POSCAR format:
```
Ba2BiRhO5
1.0
3.5345 0.0000 0.0000
-1.7673 8.0830 0.0000
0.0000 0.0000 10.3561
O Ba Rh Bi
10 4 2 2
direct
0.6414 0.2829 0.5055
0.7148 0.4295 0.8828
0.5034 0.0069 0.7920
0.9031 0.8063 0.5069
0.7158 0.4317 0.1270
0.2852 0.5705 0.3828
0.3586 0.7171 0.0055
0.2842 0.5683 0.6270
0.0969 0.1937 0.0069
0.4966 0.9931 0.2920
0.8645 0.7290 0.2211
0.1355 0.2710 0.7211
0.8620 0.7240 0.7885
0.1380 0.2759 0.2885
0.7746 0.5493 0.5047
0.2254 0.4507 0.0047
0.5130 0.0261 0.9956
0.4870 0.9739 0.4956
```

***

Ordered total moment results: 0.00 0.00; unit Bohr magnetons per cell.